Entry 1:
Mn3Co5: relaxed, PBE.

Values from the calculation:
formation enthalpy at 0 K = 259.0 meV per atom
uncorrected energy = -121.9 eV/cell
space-group type = P6_3/mcm

Cell lengths 6.9583, 6.9583, 4.6026 Å; angles 90.00, 90.00, 120.00 degrees
Last column: nearest neighbours and their distance in Å.
Fractional coordinates of all 16 atoms:
Mn (0.0000, 0.3997, 0.2500)  9 Co 2.41-2.63, 2 Mn 2.69
Mn (0.0000, 0.6003, 0.7500)  9 Co 2.41-2.63, 2 Mn 2.69
Mn (0.3997, 0.0000, 0.2500)  9 Co 2.41-2.63, 2 Mn 2.69
Mn (0.3997, 0.3997, 0.7500)  9 Co 2.41-2.63, 2 Mn 2.69
Mn (0.6003, 0.0000, 0.7500)  9 Co 2.41-2.63, 2 Mn 2.69
Mn (0.6003, 0.6003, 0.2500)  9 Co 2.41-2.63, 2 Mn 2.69
Co (0.0000, 0.2219, 0.7500)  5 Mn 2.41-2.63, 2 Co 2.67
Co (0.0000, 0.7781, 0.2500)  5 Mn 2.41-2.63, 2 Co 2.67
Co (0.2219, 0.0000, 0.7500)  5 Mn 2.41-2.63, 2 Co 2.67
Co (0.2219, 0.2219, 0.2500)  5 Mn 2.41-2.63, 2 Co 2.67
Co (0.3333, 0.6667, 0.0000)  2 Co 2.30, 6 Mn 2.42
Co (0.3333, 0.6667, 0.5000)  2 Co 2.30, 6 Mn 2.42
Co (0.6667, 0.3333, 0.0000)  2 Co 2.30, 6 Mn 2.42
Co (0.6667, 0.3333, 0.5000)  2 Co 2.30, 6 Mn 2.42
Co (0.7781, 0.0000, 0.2500)  5 Mn 2.41-2.63, 2 Co 2.67
Co (0.7781, 0.7781, 0.7500)  5 Mn 2.41-2.63, 2 Co 2.67



Entry 2:
Mn3Co: relaxed, PBE.

Values from the calculation:
formation enthalpy at 0 K = -10.7 meV per atom
uncorrected energy = -69.3 eV/cell
space-group type = P6_3/mmc

Cell lengths 4.9714, 4.9714, 3.9495 Å; angles 90.00, 90.00, 120.00 degrees
Last column: nearest neighbours and their distance in Å.
Fractional coordinates of all 8 atoms:
Mn (0.1622, 0.3244, 0.2500)  8 Mn 2.42-2.55, 4 Co 2.46-2.49
Mn (0.1622, 0.8378, 0.2500)  8 Mn 2.42-2.55, 4 Co 2.46-2.49
Mn (0.3244, 0.1622, 0.7500)  8 Mn 2.42-2.55, 4 Co 2.46-2.49
Mn (0.6756, 0.8378, 0.2500)  8 Mn 2.42-2.55, 4 Co 2.46-2.49
Mn (0.8378, 0.1622, 0.7500)  8 Mn 2.42-2.55, 4 Co 2.46-2.49
Mn (0.8378, 0.6756, 0.7500)  8 Mn 2.42-2.55, 4 Co 2.46-2.49
Co (0.3333, 0.6667, 0.7500)  12 Mn 2.46-2.49
Co (0.6667, 0.3333, 0.2500)  12 Mn 2.46-2.49



Entry 3:
Mn5Co3: relaxed, PBE.

Values from the calculation:
formation enthalpy at 0 K = 174.4 meV per atom
uncorrected energy = -131.5 eV/cell
space-group type = P6_3/mcm

Cell lengths 6.9118, 6.9118, 4.5980 Å; angles 90.00, 90.00, 120.00 degrees
Last column: nearest neighbours and their distance in Å.
Fractional coordinates of all 16 atoms:
Mn (0.0000, 0.2370, 0.2500)  5 Co 2.42-2.57
Mn (0.0000, 0.7630, 0.7500)  5 Co 2.42-2.57
Mn (0.2370, 0.0000, 0.2500)  5 Co 2.42-2.57
Mn (0.2370, 0.2370, 0.7500)  5 Co 2.42-2.57
Mn (0.3333, 0.6667, 0.0000)  2 Mn 2.30, 6 Co 2.40
Mn (0.3333, 0.6667, 0.5000)  2 Mn 2.30, 6 Co 2.40
Mn (0.6667, 0.3333, 0.0000)  2 Mn 2.30, 6 Co 2.40
Mn (0.6667, 0.3333, 0.5000)  2 Mn 2.30, 6 Co 2.40
Mn (0.7630, 0.0000, 0.7500)  5 Co 2.42-2.57
Mn (0.7630, 0.7630, 0.2500)  5 Co 2.42-2.57
Co (0.0000, 0.4024, 0.7500)  9 Mn 2.40-2.57, 2 Co 2.67
Co (0.0000, 0.5976, 0.2500)  9 Mn 2.40-2.57, 2 Co 2.67
Co (0.4024, 0.0000, 0.7500)  9 Mn 2.40-2.57, 2 Co 2.67
Co (0.4024, 0.4024, 0.2500)  9 Mn 2.40-2.57, 2 Co 2.67
Co (0.5976, 0.0000, 0.2500)  9 Mn 2.40-2.57, 2 Co 2.67
Co (0.5976, 0.5976, 0.7500)  9 Mn 2.40-2.57, 2 Co 2.67



Entry 4:
MnCo2: relaxed, PBE.

Values from the calculation:
formation enthalpy at 0 K = 354.5 meV per atom
uncorrected energy = -44.6 eV/cell
space-group type = I4_1/amd

Cell lengths 9.8032, 9.8032, 9.8032 Å; angles 164.10, 164.10, 22.56 degrees
Last column: nearest neighbours and their distance in Å.
Fractional coordinates of all 6 atoms:
Mn (0.3750, 0.6250, 0.7500)  8 Co 2.40
Mn (0.6250, 0.3750, 0.2500)  8 Co 2.40
Co (0.0501, 0.8001, 0.2500)  2 Co 2.36, 4 Mn 2.40
Co (0.1999, 0.9499, 0.2500)  2 Co 2.36, 4 Mn 2.40
Co (0.8001, 0.0501, 0.7500)  2 Co 2.36, 4 Mn 2.40
Co (0.9499, 0.1999, 0.7500)  2 Co 2.36, 4 Mn 2.40